(P)
Entry from Alexandria via LeMat-Bulk: an optimized crystal structure of Mg2ZrH2 (PBE).

Lattice parameters (Å, degrees): 5.929 5.929 4.310 90.00 90.00 90.00
Space group P4/mbm (No. 127)
Symmetry-distinct sites (fractional):
Mg 0.185 0.315 0.000 x4
Zr 0.000 0.000 0.500 x2
H 0.215 0.285 0.500 x4



(Q)
Entry from Alexandria via LeMat-Bulk: an optimized crystal structure of Mg2ZrH2 (PBE).

Lattice parameters (Å, degrees): 7.847 7.847 2.708 90.00 90.00 90.00
Space group P4/mbm (No. 127)
Symmetry-distinct sites (fractional):
Mg 0.125 0.375 0.000 x4
Zr 0.000 0.000 0.000 x2
H 0.097 0.597 0.500 x4



Which structure wins on stability? (P) wins.



(P)
Entry from Alexandria via LeMat-Bulk: an optimized crystal structure of Mn4H5 (PBE).

Lattice parameters (Å, degrees): 8.233 6.315 2.514 90.00 90.22 90.00
Space group C2/m (No. 12)
Symmetry-distinct sites (fractional):
Mn 0.141 0.174 0.252 x8
H 0.000 0.000 0.500 x2
H 0.000 0.339 0.500 x4
H 0.249 0.500 0.254 x4



(Q)
Entry from Alexandria via LeMat-Bulk: an optimized crystal structure of Mn4H5 (PBE).

Lattice parameters (Å, degrees): 6.410 6.410 2.648 90.00 90.00 90.00
Space group I4/m (No. 87)
Symmetry-distinct sites (fractional):
Mn 0.077 0.278 0.000 x8
H 0.000 0.000 0.000 x2
H 0.104 0.816 0.500 x8



Which structure wins on stability? (Q) wins.



(P)
Entry from Alexandria via LeMat-Bulk: an optimized crystal structure of Mn3H2 (PBE).

Lattice parameters (Å, degrees): 2.5628 2.5628 6.3817 90.00 90.00 120.00
Space group P-3m1 (No. 164)
Symmetry-distinct sites (fractional):
Mn 0.0000 0.0000 0.0000 x1
Mn 0.3333 0.6667 0.6496 x2
H 0.3333 0.6667 0.1725 x2



(Q)
Entry from Alexandria via LeMat-Bulk: an optimized crystal structure of Mn3H2 (PBE).

Lattice parameters (Å, degrees): 6.817 4.589 4.848 90.00 90.00 90.00
Space group Pbcn (No. 60)
Symmetry-distinct sites (fractional):
Mn 0.000 0.079 0.250 x4
Mn 0.163 0.403 0.590 x8
H 0.098 0.255 0.936 x8



(R)
Entry from Alexandria via LeMat-Bulk: an optimized crystal structure of Mn3H2 (PBE).

Lattice parameters (Å, degrees): 4.5025 4.5025 12.2222 90.00 90.00 120.00
Space group R-3c (No. 167, hexagonal axes)
Symmetry-distinct sites (fractional):
Mn 0.0000 0.3353 0.2500 x18
H 0.0000 0.0000 0.1633 x12



Which structure wins on stability? (R) wins.



(P)
Entry from Alexandria via LeMat-Bulk: an optimized crystal structure of MnMo2H2 (PBE).

Lattice parameters (Å, degrees): 2.853 2.853 11.821 90.00 90.00 90.00
Space group I4/mmm (No. 139)
Symmetry-distinct sites (fractional):
Mn 0.000 0.000 0.000 x2
Mo 0.000 0.000 0.361 x4
H 0.000 0.500 0.250 x4



(Q)
Entry from Alexandria via LeMat-Bulk: an optimized crystal structure of MnMo2H2 (PBE).

Lattice parameters (Å, degrees): 5.781 5.781 2.843 90.00 90.00 90.00
Space group P4/mbm (No. 127)
Symmetry-distinct sites (fractional):
Mn 0.000 0.000 0.000 x2
Mo 0.159 0.341 0.500 x4
H 0.168 0.668 0.000 x4



Which structure wins on stability? (P) wins.



(P)
Entry from Alexandria via LeMat-Bulk: an optimized crystal structure of MnMoH2 (PBE).

Lattice parameters (Å, degrees): 2.7882 2.7882 13.5435 90.00 90.00 120.00
Space group R-3m (No. 166, hexagonal axes)
Symmetry-distinct sites (fractional):
Mn 0.0000 0.0000 0.0000 x3
Mo 0.0000 0.0000 0.5000 x3
H 0.0000 0.0000 0.2657 x6



(Q)
Entry from Alexandria via LeMat-Bulk: an optimized crystal structure of MnMoH2 (PBE).

Lattice parameters (Å, degrees): 5.060 5.060 5.060 90.00 90.00 90.00
Space group Fm-3m (No. 225)
Symmetry-distinct sites (fractional):
Mn 0.000 0.000 0.000 x4
Mo 0.000 0.000 0.500 x4
H 0.250 0.250 0.250 x8



Which structure wins on stability? (P) wins.



(P)
Entry from Alexandria via LeMat-Bulk: an optimized crystal structure of MnMoH2 (PBE).

Lattice parameters (Å, degrees): 5.606 4.864 4.461 90.00 90.01 90.00
Space group P2_1/c (No. 14)
Symmetry-distinct sites (fractional):
Mn 0.117 0.086 0.250 x4
Mo 0.364 0.583 0.250 x4
H 0.099 0.749 0.501 x4
H 0.349 0.250 0.000 x4



(Q)
Entry from Alexandria via LeMat-Bulk: an optimized crystal structure of MnMoH2 (PBE).

Lattice parameters (Å, degrees): 4.097 4.097 8.188 90.00 90.00 90.00
Space group I-42d (No. 122)
Symmetry-distinct sites (fractional):
Mn 0.000 0.000 0.000 x4
Mo 0.000 0.000 0.500 x4
H 0.217 0.250 0.125 x8



(R)
Entry from Alexandria via LeMat-Bulk: an optimized crystal structure of MnMoH2 (PBE).

Lattice parameters (Å, degrees): 2.7800 2.7800 14.9397 90.00 90.00 120.00
Space group R3m (No. 160, hexagonal axes)
Symmetry-distinct sites (fractional):
Mn 0.0000 0.0000 0.0000 x3
Mo 0.0000 0.0000 0.8256 x3
H 0.0000 0.0000 0.4013 x3
H 0.0000 0.0000 0.5889 x3



Which structure wins on stability? (P) wins.